Crystalline RbAlCrO4 at its relaxed geometry. Source: the Alexandria database, functional PBE+U.

Output
Calculated volume, A^3/atom: 14.6
Total moment, μB per formula unit: 2.0
Space group: P2_1/m (11)
Crystal system: monoclinic
E, eV per atom: -6.524

Cell: 5.2653 5.3779 7.2655 Å, 90.00 97.97 90.00°
Closest atoms and distances in Å follow each position.
Element x y z (fractional)
Rb 0.1866 0.2500 0.0959  5 O 2.72-2.98
Rb 0.8134 0.7500 0.9041  5 O 2.72-2.98
Al 0.3718 0.2500 0.6433  4 O 1.77-1.81
Al 0.6282 0.7500 0.3567  4 O 1.77-1.81
Cr 0.1616 0.7500 0.4619  6 O 1.87-2.04
Cr 0.8384 0.2500 0.5381  6 O 1.87-2.04
O 0.1231 0.0190 0.6531  1 Al 1.81
O 0.1231 0.4810 0.6531  1 Al 1.81
O 0.3174 0.7500 0.2285  1 Al 1.77
O 0.4959 0.2500 0.4291  1 Al 1.77, 1 Cr 1.87
O 0.5041 0.7500 0.5709  1 Al 1.77, 1 Cr 1.87
O 0.6826 0.2500 0.7715  1 Al 1.77
O 0.8769 0.5190 0.3469  1 Al 1.81
O 0.8769 0.9810 0.3469  1 Al 1.81